Below is a relaxed structure of Ca3Mg4Zn2, with properties calculated at the PBE level.

Summary:
formation energy	-6.6	kJ/mol of atoms

Geometry as POSCAR:
```
Ca3Mg4Zn2
1.0
2.164 7.814 -0.089
-2.164 7.814 -0.089
0.000 0.086 7.266
Ca Mg Zn
3 4 2
Direct
0.842 0.842 0.376 Ca
0.158 0.158 0.624 Ca
0.000 0.000 0.000 Ca
0.802 0.802 0.862 Mg
0.198 0.198 0.138 Mg
0.447 0.447 0.684 Mg
0.553 0.553 0.316 Mg
0.628 0.628 0.927 Zn
0.372 0.372 0.073 Zn
```

Below is a relaxed structure of ScIn2Mo, with properties calculated at the PBE level.

Summary:
formation energy	4.1	kJ/mol of atoms
polymorph energy (0 for the lowest one)	99.1	meV/atom

Geometry as POSCAR:
```
ScIn2Mo
1.0
5.306 -0.007 -0.023
-1.940 4.938 -0.023
0.013 0.019 3.032
In Mo Sc
2 1 1
Direct
0.000 0.000 0.000 In
0.500 0.500 0.000 In
0.500 0.000 0.500 Mo
0.000 0.500 0.500 Sc
```

Below is a relaxed structure of Zr2TiAs, with properties calculated at the PBE level.

Summary:
formation energy	-8.3	kJ/mol of atoms

Geometry as POSCAR:
```
Zr2TiAs
1.0
-2.610 -5.427 -5.134
7.426 -2.480 -1.154
2.129 -5.722 -1.133
As Zr Ti
2 4 2
Direct
0.000 0.000 0.000 As
0.750 0.250 0.500 As
0.664 0.125 0.250 Zr
0.086 0.625 0.250 Zr
0.375 0.336 0.750 Zr
0.875 0.914 0.750 Zr
0.500 0.500 0.000 Ti
0.250 0.750 0.500 Ti
```

no.,total DFT energy (no corrections) (eV/cell)
1,-15.54
2,-22.47
3,-59.97